Entry from the Alexandria database: an optimized crystal structure of Li2GaWO6 (PBE+U).

```
Li2GaWO6
1.0
5.194 0.000 -0.032
0.000 5.243 0.000
0.000 0.000 7.509
Li Ga W O
4 2 2 12
Cartesian
5.089 5.092 1.863
2.492 2.773 5.633
0.106 0.151 5.615
2.703 2.470 1.844
2.597 0.000 -0.016
0.000 2.622 3.755
2.597 0.000 3.739
0.000 2.622 0.000
1.696 3.500 0.364
4.294 4.365 4.103
3.498 1.743 7.114
0.901 0.878 3.375
1.747 3.533 3.329
4.345 4.331 7.068
3.447 1.710 4.148
0.850 0.912 0.409
4.688 2.868 1.828
2.091 4.997 5.598
0.506 2.375 5.650
3.103 0.247 1.880
```

Calculated volume (Å³/cell): 204.5
Space group: P2_1/c (14)
Uncorrected energy (eV per atom): -6.175